{"formula": "Mn2Ni2O5", "functional": "PBE+U", "state": "relaxed", "mass_density_g_cm3": 5.48, "magmom_total_mub_per_atom": 1.33, "e_tot_ev_per_atom": -5.964, "lattice_angstrom": [[4.9248, -3.3269, 0.0000], [4.9248, 3.3269, 0.0000], [0.0000, 0.0000, 5.6875]], "species": ["Mn", "Mn", "Mn", "Mn", "Ni", "Ni", "Ni", "Ni", "O", "O", "O", "O", "O", "O", "O", "O", "O", "O"], "fractional_positions": [[0.2191, 0.7809, 0.8368], [0.2809, 0.7191, 0.3368], [0.7191, 0.2809, 0.6632], [0.7809, 0.2191, 0.1632], [0.2109, 0.2109, 0.5000], [0.2891, 0.2891, 0.0000], [0.7109, 0.7109, 0.0000], [0.7891, 0.7891, 0.5000], [0.0000, 0.0000, 0.5000], [0.0515, 0.6746, 0.0988], [0.1746, 0.5515, 0.5988], [0.3254, 0.9485, 0.0988], [0.4485, 0.8254, 0.5988], [0.5000, 0.5000, 0.0000], [0.5515, 0.1746, 0.4012], [0.6746, 0.0515, 0.9012], [0.8254, 0.4485, 0.4012], [0.9485, 0.3254, 0.9012]]}